Ba2Pu3AlO12: relaxed, PBE.

Cell: 7.269 7.269 7.269 Å, 65.06 65.06 65.06°
Element x y z (fractional)
Pu 0.000 0.000 0.500
Pu 0.500 0.000 0.000
Pu 0.000 0.500 0.000
Ba 0.659 0.659 0.659
Ba 0.341 0.341 0.341
O 0.705 0.058 0.058
O 0.338 0.338 0.959
O 0.942 0.295 0.942
O 0.058 0.058 0.705
O 0.338 0.959 0.338
O 0.058 0.705 0.058
O 0.959 0.338 0.338
O 0.942 0.942 0.295
O 0.295 0.942 0.942
O 0.662 0.662 0.041
O 0.041 0.662 0.662
O 0.662 0.041 0.662
Al 0.000 0.000 0.000

Output
calculated density: 6.7 g/cm3
N(E_F): 0.4473 states/eV per atom
formation energy without anion corrections: -2.703 eV per atom
crystal system: trigonal

***

BaPuAlO5: relaxed, PBE.

Cell: 6.092 6.092 7.895 Å, 103.94 103.94 106.60°
Element x y z (fractional)
O 0.705 0.117 0.389
O 0.933 0.067 0.750
O 0.117 0.705 0.889
O 0.883 0.295 0.111
O 0.067 0.933 0.250
O 0.236 0.381 0.605
O 0.764 0.619 0.395
O 0.619 0.764 0.895
O 0.295 0.883 0.611
O 0.381 0.236 0.105
Ba 0.664 0.336 0.750
Ba 0.336 0.664 0.250
Al 0.311 0.689 0.750
Al 0.689 0.311 0.250
Pu 0.000 0.000 0.000
Pu 0.000 0.000 0.500

Output
calculated density: 6.3 g/cm3
N(E_F): 0.9196 states/eV per atom
formation energy without anion corrections: -2.897 eV per atom
crystal system: monoclinic

***

BaAlRe2O8: relaxed, PBE.

Cell: 5.669 5.669 7.192 Å, 90.00 90.00 120.00°
Element x y z (fractional)
Re 0.333 0.667 0.727
Re 0.667 0.333 0.273
O 0.667 0.333 0.022
O 0.841 0.146 0.338
O 0.854 0.695 0.338
O 0.146 0.305 0.662
O 0.159 0.854 0.662
O 0.695 0.841 0.662
O 0.305 0.159 0.338
O 0.333 0.667 0.978
Ba 0.000 0.000 0.000
Al 0.000 0.000 0.500

Output
calculated density: 5.5 g/cm3
N(E_F): 0.5456 states/eV per atom
formation energy without anion corrections: -1.916 eV per atom
crystal system: trigonal

***

Ba2AlRhO5: relaxed, PBE.

Cell: 3.402 7.702 10.815 Å, 90.00 90.00 102.76°
Element x y z (fractional)
O 0.492 0.983 0.310
O 0.061 0.122 0.020
O 0.655 0.310 0.501
O 0.314 0.627 0.399
O 0.939 0.878 0.520
O 0.686 0.373 0.899
O 0.508 0.017 0.810
O 0.707 0.415 0.137
O 0.345 0.690 0.001
O 0.293 0.585 0.637
Rh 0.792 0.583 0.520
Rh 0.208 0.417 0.020
Al 0.431 0.862 0.447
Al 0.569 0.138 0.947
Ba 0.869 0.738 0.811
Ba 0.119 0.239 0.678
Ba 0.881 0.761 0.178
Ba 0.131 0.262 0.311

Output
calculated density: 5.8 g/cm3
formation energy without anion corrections: -2.149 eV per atom
crystal system: orthorhombic

***

Calculated values (eV/cell) of VASP energy for the records, taken in order: -158.7 -135.9 -93.2 -118.1.